[1]
# Li5Mn2NiO8 | Alexandria | SCAN | single point on PBEsol structure
data_Li5Mn2NiO8
_cell_length_a 5.6166
_cell_length_b 5.6835
_cell_length_c 5.6792
_cell_angle_alpha 119.48
_cell_angle_beta 90.00
_cell_angle_gamma 119.61
_space_group_name_H-M_alt 'P 1'
_space_group_IT_number 1
_space_group_name_Hall 'P 1'
loop_
_atom_site_label
_atom_site_type_symbol
_atom_site_fract_x
_atom_site_fract_y
_atom_site_fract_z
_atom_site_occupancy
Li1 Li 0.5000 0.0000 0.5000 1
Li2 Li 0.0000 0.0000 0.5000 1
Li3 Li 0.5000 0.0000 0.0000 1
Li4 Li 0.0000 0.5000 0.5000 1
Li5 Li 0.5000 0.5000 0.5000 1
Mn1 Mn 0.0000 0.5000 0.0000 1
Mn2 Mn 0.5000 0.5000 0.0000 1
Ni1 Ni 0.0000 0.0000 0.0000 1
O1 O 0.2578 0.5157 0.2369 1
O2 O 0.7422 0.4843 0.7631 1
O3 O 0.7499 0.4997 0.2267 1
O4 O 0.2501 0.5003 0.7733 1
O5 O 0.7448 0.9635 0.2175 1
O6 O 0.2188 0.9635 0.2175 1
O7 O 0.2552 0.0365 0.7825 1
O8 O 0.7812 0.0365 0.7825 1
# Formation energy from raw total energies: -34.1 eV/f.u.
# Total magnetization: 7.0 μB/cell
# Calculated volume: 8.12 Å³/atom
# Total energy: -9.29 eV/atom

[2]
# SrScPt2 | Alexandria | SCAN | single point on PBEsol structure
data_SrScPt2
_cell_length_a 4.4885
_cell_length_b 4.4885
_cell_length_c 5.8494
_cell_angle_alpha 67.44
_cell_angle_beta 67.44
_cell_angle_gamma 60.00
_space_group_name_H-M_alt 'P 1'
_space_group_IT_number 1
_space_group_name_Hall 'P 1'
loop_
_atom_site_label
_atom_site_type_symbol
_atom_site_fract_x
_atom_site_fract_y
_atom_site_fract_z
_atom_site_occupancy
Sc1 Sc 0.5000 0.5000 0.5000 1
Sr1 Sr 0.0000 0.0000 0.0000 1
Pt1 Pt 0.2095 0.2095 0.3714 1
Pt2 Pt 0.7905 0.7905 0.6286 1
# Total magnetization: 0.0 μB/cell
# Calculated volume: 22.87 Å³/atom
# Total energy: -45.31 eV/atom
# Formation energy: -4.35 eV per formula unit
# Excess energy over the best structure of this formula in the dataset: 6.44 kJ/mol of atoms

[3]
# SrGa2MoOs | Alexandria | SCAN | single point on PBEsol structure
data_SrGa2MoOs
_cell_length_a 4.7191
_cell_length_b 4.8990
_cell_length_c 4.8990
_cell_angle_alpha 90.00
_cell_angle_beta 90.00
_cell_angle_gamma 90.00
_space_group_name_H-M_alt 'P 1'
_space_group_IT_number 1
_space_group_name_Hall 'P 1'
loop_
_atom_site_label
_atom_site_type_symbol
_atom_site_fract_x
_atom_site_fract_y
_atom_site_fract_z
_atom_site_occupancy
Sr1 Sr 0.5000 0.5000 0.5000 1
Mo1 Mo 0.0000 0.0000 0.0000 1
Os1 Os 0.5000 0.0000 0.0000 1
Ga1 Ga 0.0000 0.0000 0.5000 1
Ga2 Ga 0.0000 0.5000 0.0000 1
# Total magnetization: 0.0 μB/cell
# Calculated volume: 22.65 Å³/atom
# Total energy: -32.02 eV/atom
# Formation energy: 1.66 eV per formula unit

[4]
# Be2Tl2Co | Alexandria | SCAN | single point on PBEsol structure
data_Be2Tl2Co
_cell_length_a 3.0702
_cell_length_b 3.0702
_cell_length_c 8.3837
_cell_angle_alpha 100.55
_cell_angle_beta 100.55
_cell_angle_gamma 90.00
_space_group_name_H-M_alt 'P 1'
_space_group_IT_number 1
_space_group_name_Hall 'P 1'
loop_
_atom_site_label
_atom_site_type_symbol
_atom_site_fract_x
_atom_site_fract_y
_atom_site_fract_z
_atom_site_occupancy
Be1 Be 0.2500 0.7500 0.5000 1
Be2 Be 0.7500 0.2500 0.5000 1
Tl1 Tl 0.6036 0.6036 0.2073 1
Tl2 Tl 0.3964 0.3964 0.7927 1
Co1 Co 0.0000 0.0000 0.0000 1
# Total magnetization: 1.8 μB/cell
# Calculated volume: 15.27 Å³/atom
# Total energy: -33.45 eV/atom
# Formation energy: 3.49 eV per formula unit

[5]
# MnSiO3 | Alexandria | SCAN | single point on PBEsol structure
data_MnSiO3
_cell_length_a 10.1337
_cell_length_b 10.1337
_cell_length_c 10.1337
_cell_angle_alpha 109.19
_cell_angle_beta 109.19
_cell_angle_gamma 110.04
_space_group_name_H-M_alt 'P 1'
_space_group_IT_number 1
_space_group_name_Hall 'P 1'
loop_
_atom_site_label
_atom_site_type_symbol
_atom_site_fract_x
_atom_site_fract_y
_atom_site_fract_z
_atom_site_occupancy
Mn1 Mn 0.9915 0.6069 0.8674 1
Mn2 Mn 0.5013 0.0013 0.5000 1
Mn3 Mn 0.8569 0.4895 0.1153 1
Mn4 Mn 0.7395 0.1241 0.1326 1
Mn5 Mn 0.2513 0.2513 0.0000 1
Mn6 Mn 0.3741 0.7415 0.8847 1
Mn7 Mn 0.6250 0.3750 0.2500 1
Mn8 Mn 0.6250 0.3750 0.7500 1
Mn9 Mn 0.6250 0.8750 0.2500 1
Mn10 Mn 0.1250 0.3750 0.7500 1
Mn11 Mn 0.8759 0.0085 0.6153 1
Mn12 Mn 0.9987 0.4987 0.5000 1
Mn13 Mn 0.5105 0.6259 0.3674 1
Mn14 Mn 0.3931 0.2605 0.3847 1
Mn15 Mn 0.7487 0.7487 0.0000 1
Mn16 Mn 0.2585 0.1431 0.6326 1
Si1 Si 0.4923 0.1020 0.8629 1
Si2 Si 0.3520 0.9891 0.1098 1
Si3 Si 0.2391 0.6293 0.1371 1
Si4 Si 0.8793 0.2423 0.8902 1
Si5 Si 0.6250 0.8750 0.7500 1
Si6 Si 0.3707 0.5077 0.6098 1
Si7 Si 0.1250 0.3750 0.2500 1
Si8 Si 0.0109 0.1207 0.3629 1
Si9 Si 0.2500 0.7500 0.5000 1
Si10 Si 0.1250 0.8750 0.2500 1
Si11 Si 0.1250 0.8750 0.7500 1
Si12 Si 0.8980 0.7609 0.3902 1
Si13 Si 0.7500 0.2500 0.5000 1
Si14 Si 0.0000 0.0000 0.0000 1
Si15 Si 0.7577 0.6480 0.6371 1
Si16 Si 0.5000 0.5000 0.0000 1
O1 O 0.5923 0.2423 0.5187 1
O2 O 0.5412 0.9583 0.8646 1
O3 O 0.6334 0.2536 0.0421 1
O4 O 0.4806 0.1394 0.7154 1
O5 O 0.5036 0.9615 0.1202 1
O6 O 0.2366 0.8748 0.4312 1
O7 O 0.3092 0.0550 0.8406 1
O8 O 0.2083 0.8438 0.9171 1
O9 O 0.4923 0.4736 0.1499 1
O10 O 0.3894 0.1741 0.1589 1
O11 O 0.3237 0.3423 0.8501 1
O12 O 0.3050 0.9644 0.2458 1
O13 O 0.7236 0.0737 0.4813 1
O14 O 0.0554 0.9866 0.8617 1
O15 O 0.4241 0.7652 0.2846 1
O16 O 0.2115 0.5913 0.9579 1
O17 O 0.1248 0.1936 0.1383 1
O18 O 0.2144 0.4686 0.1594 1
O19 O 0.0152 0.2306 0.8411 1
O20 O 0.4436 0.8054 0.5688 1
O21 O 0.0938 0.6766 0.1354 1
O22 O 0.9266 0.2912 0.0829 1
O23 O 0.7186 0.0592 0.7542 1
O24 O 0.4087 0.3666 0.6202 1
O25 O 0.8413 0.3834 0.8798 1
O26 O 0.5314 0.6908 0.7458 1
O27 O 0.3234 0.4588 0.4171 1
O28 O 0.1562 0.0734 0.3646 1
O29 O 0.8064 0.9446 0.9312 1
O30 O 0.2348 0.5194 0.6589 1
O31 O 0.0356 0.2814 0.3406 1
O32 O 0.1252 0.5564 0.3617 1
O33 O 0.0385 0.1587 0.5421 1
O34 O 0.8259 0.9848 0.2154 1
O35 O 0.1946 0.7634 0.6383 1
O36 O 0.5264 0.6763 0.0187 1
O37 O 0.9450 0.7856 0.2542 1
O38 O 0.9263 0.4077 0.6499 1
O39 O 0.8606 0.5759 0.3411 1
O40 O 0.7577 0.2764 0.3501 1
O41 O 0.0417 0.9062 0.5829 1
O42 O 0.9408 0.6950 0.6594 1
O43 O 0.0134 0.8752 0.0688 1
O44 O 0.7464 0.7885 0.3798 1
O45 O 0.7694 0.6106 0.7846 1
O46 O 0.6166 0.4964 0.4579 1
O47 O 0.7088 0.7917 0.6354 1
O48 O 0.6577 0.5077 0.9813 1
# Formation energy from raw total energies: -12.9 eV/f.u.
# Total magnetization: 80.0 μB/cell
# Calculated volume: 10.01 Å³/atom
# Total energy: -11.98 eV/atom

[6]
# CaScSi2 | Alexandria | SCAN | single point on PBEsol structure
data_CaScSi2
_cell_length_a 3.0813
_cell_length_b 3.9302
_cell_length_c 6.4043
_cell_angle_alpha 90.00
_cell_angle_beta 90.00
_cell_angle_gamma 90.00
_space_group_name_H-M_alt 'P 1'
_space_group_IT_number 1
_space_group_name_Hall 'P 1'
loop_
_atom_site_label
_atom_site_type_symbol
_atom_site_fract_x
_atom_site_fract_y
_atom_site_fract_z
_atom_site_occupancy
Ca1 Ca 0.5000 0.5000 0.0000 1
Sc1 Sc 0.5000 0.5000 0.5000 1
Si1 Si 0.0000 0.0000 0.7011 1
Si2 Si 0.0000 0.0000 0.2989 1
# Formation energy from raw total energies: -1.8 eV/f.u.
# Total magnetization: 0.0 μB/cell
# Calculated volume: 19.39 Å³/atom
# Total energy: -11.43 eV/atom
# Excess energy over the best structure of this formula in the dataset: 0.00 kJ/mol of atoms

Which value of calculated volume does entry 1 give? 8.12 Å³/atom

The lowest total energy belongs to which entry? SrScPt2

Which value of total energy does entry 4 give? -33.45 eV/atom

Among the records above, which one has the highest total magnetization? MnSiO3